(1)
{
  "formula": "MgGaI2",
  "functional": "GGA-PBE",
  "state": "relaxed",
  "space_group": "No. 122",
  "e_form_raw_ev_per_fu": -1.1,
  "magmom_total_mub_per_atom": 0.223,
  "crystal_system": "tetragonal",
  "volume_a3_per_atom": 34.9,
  "de_polymorph_kj_per_mol_fu": 0,
  "lattice": [[-4.2086, 4.2086, 3.9439], [4.2086, -4.2086, 3.9439], [4.2086, 4.2086, -3.9439]],
  "species": ["Mg", "Mg", "Ga", "Ga", "I", "I", "I", "I"],
  "fractional_positions": [[0.0000, 0.0000, 0.0000], [0.7500, 0.2500, 0.5000], [0.2500, 0.7500, 0.5000], [0.5000, 0.5000, 0.0000], [0.0806, 0.6250, 0.9556], [0.3750, 0.3306, 0.4556], [0.6694, 0.1250, 0.0444], [0.8750, 0.9194, 0.5444]]
}



(2)
{
  "formula": "Rb3In2Br7",
  "functional": "GGA-PBE",
  "state": "relaxed",
  "space_group": "No. 65",
  "e_form_raw_ev_per_fu": -14.7,
  "magmom_total_mub_per_atom": 0.000,
  "crystal_system": "orthorhombic",
  "volume_a3_per_atom": 38.8,
  "lattice": [[2.9124, -14.2423, 0.0000], [2.9124, 14.2423, 0.0000], [0.0000, 0.0000, 5.6169]],
  "species": ["Rb", "Rb", "Rb", "In", "In", "Br", "Br", "Br", "Br", "Br", "Br", "Br"],
  "fractional_positions": [[0.0000, 0.0000, 0.0000], [0.1803, 0.8197, 0.0000], [0.8197, 0.1803, 0.0000], [0.3966, 0.6034, 0.5000], [0.6034, 0.3966, 0.5000], [0.0996, 0.9004, 0.5000], [0.2977, 0.7023, 0.5000], [0.3997, 0.6003, 0.0000], [0.5000, 0.5000, 0.5000], [0.6003, 0.3997, 0.0000], [0.7023, 0.2977, 0.5000], [0.9004, 0.0996, 0.5000]]
}